Compound: CaLaEuZn
Source: the Alexandria database
Functional: GGA-PBE
Structure: optimized geometry

Unit cell a=5.6093 b=5.6093 c=5.6093 alpha=60.00 beta=60.00 gamma=60.00
With the nearest neighbours (Å) after each atom.
Sites, in units of the cell vectors:
La1 0.0000 0.0000 0.0000  4 Eu 3.43, 4 Zn 3.43
Zn1 0.2500 0.2500 0.2500  4 La 3.43, 4 Ca 3.43
Ca1 0.5000 0.5000 0.5000  4 Eu 3.43, 4 Zn 3.43
Eu1 0.7500 0.7500 0.7500  4 Ca 3.43, 4 La 3.43

Properties
The total magnetization is 1.934 μB per atom. The calculation puts the calculated volume at 125 Å³/cell. The space group is No. 216. As for the formation energy from the elements: 0.055 eV/atom. The value obtained for the density of states at the Fermi level is 4.49 states/eV/cell.

---

Compound: AsPAu2
Source: the Alexandria database
Functional: GGA-PBE
Structure: optimized geometry

Unit cell a=6.3580 b=5.2486 c=2.8749 alpha=89.82 beta=63.46 gamma=118.90
With the nearest neighbours (Å) after each atom.
Sites, in units of the cell vectors:
Au1 0.5000 0.0000 0.5000  4 Au 2.84-2.87, 4 P 2.99-3.00, 4 As 2.99-3.00
Au2 0.0000 0.0000 0.0000  4 Au 2.84-2.87, 4 As 2.99-3.00, 4 P 2.99-3.00
As1 0.5000 0.5000 0.0000  2 P 2.84, 2 As 2.87, 8 Au 2.99-3.00
P1 0.0000 0.5000 0.5000  2 As 2.84, 2 P 2.87, 8 Au 2.99-3.00

Properties
The total magnetization is 0.000 μB per atom. The calculation puts the calculated volume at 72 Å³/cell. The space group is No. 12. As for the formation energy from the elements: 0.392 eV/atom. The value obtained for the density of states at the Fermi level is 1.26 states/eV/cell. The relative energy among the computed polymorphs comes out at 0.271 eV per atom.

---

Compound: HgGe
Source: the Alexandria database
Functional: GGA-PBE
Structure: optimized geometry

Unit cell a=9.2270 b=11.1404 c=7.9778 alpha=90.00 beta=90.00 gamma=90.00
With the nearest neighbours (Å) after each atom.
Sites, in units of the cell vectors:
Ge1 0.5000 0.8871 0.5000  1 Ge 2.52, 2 Hg 2.65
Ge2 0.0000 0.3871 0.5000  1 Ge 2.52, 2 Hg 2.65
Ge3 0.7500 0.3629 0.2500  1 Ge 2.52, 2 Hg 2.65
Ge4 0.7500 0.6371 0.7500  1 Ge 2.52, 2 Hg 2.65
Ge5 0.2500 0.1371 0.7500  1 Ge 2.52, 2 Hg 2.65
Ge6 0.0000 0.6129 0.5000  1 Ge 2.52, 2 Hg 2.65
Ge7 0.2500 0.6371 0.2500  1 Ge 2.52, 2 Hg 2.65
Ge8 0.5000 0.3871 0.0000  1 Ge 2.52, 2 Hg 2.65
Ge9 0.7500 0.1371 0.2500  1 Ge 2.52, 2 Hg 2.65
Ge10 0.0000 0.1129 0.0000  1 Ge 2.52, 2 Hg 2.65
Ge11 0.2500 0.8629 0.2500  1 Ge 2.52, 2 Hg 2.65
Ge12 0.5000 0.1129 0.5000  1 Ge 2.52, 2 Hg 2.65
Ge13 0.0000 0.8871 0.0000  1 Ge 2.52, 2 Hg 2.65
Ge14 0.7500 0.8629 0.7500  1 Ge 2.52, 2 Hg 2.65
Ge15 0.5000 0.6129 0.0000  1 Ge 2.52, 2 Hg 2.65
Ge16 0.2500 0.3629 0.7500  1 Ge 2.52, 2 Hg 2.65
Hg1 0.9098 0.2500 0.7500  2 Ge 2.65, 1 Hg 2.95
Hg2 0.5902 0.2500 0.7500  2 Ge 2.65, 1 Hg 2.95
Hg3 0.5902 0.7500 0.2500  2 Ge 2.65, 1 Hg 2.95
Hg4 0.0902 0.7500 0.7500  2 Ge 2.65, 1 Hg 2.95
Hg5 0.1598 0.0000 0.5000  2 Ge 2.65, 1 Hg 2.95
Hg6 0.3402 0.5000 0.5000  2 Ge 2.65, 1 Hg 2.95
Hg7 0.0902 0.2500 0.2500  2 Ge 2.65, 1 Hg 2.95
Hg8 0.6598 0.5000 0.5000  2 Ge 2.65, 1 Hg 2.95
Hg9 0.3402 0.0000 0.0000  2 Ge 2.65, 1 Hg 2.95
Hg10 0.4098 0.2500 0.2500  2 Ge 2.65, 1 Hg 2.95
Hg11 0.1598 0.5000 0.0000  2 Ge 2.65, 1 Hg 2.95
Hg12 0.6598 0.0000 0.0000  2 Ge 2.65, 1 Hg 2.95
Hg13 0.9098 0.7500 0.2500  2 Ge 2.65, 1 Hg 2.95
Hg14 0.8402 0.0000 0.5000  2 Ge 2.65, 1 Hg 2.95
Hg15 0.4098 0.7500 0.7500  2 Ge 2.65, 1 Hg 2.95
Hg16 0.8402 0.5000 0.0000  2 Ge 2.65, 1 Hg 2.95

Properties
The total magnetization is 0.000 μB per atom. The calculation puts the calculated volume at 820 Å³/cell. The space group is No. 70. As for the formation energy from the elements: 0.257 eV/atom. The value obtained for the density of states at the Fermi level is 8.08 states/eV/cell. The relative energy among the computed polymorphs comes out at 0.107 eV per atom.

---

Compound: Sr2Ga3SbAu4
Source: the Alexandria database
Functional: GGA-PBE
Structure: optimized geometry

Unit cell a=4.6264 b=4.6264 c=10.8743 alpha=90.00 beta=90.00 gamma=90.00
With the nearest neighbours (Å) after each atom.
Sites, in units of the cell vectors:
Sr1 0.0000 0.5000 0.7594  8 Au 3.49, 7 Ga 3.54-3.89, 2 Sb 3.65
Sr2 0.5000 0.0000 0.2406  8 Au 3.49, 7 Ga 3.54-3.89, 2 Sb 3.65
Ga1 0.0000 0.5000 0.1173  5 Au 2.55-2.64
Ga2 0.5000 0.0000 0.8827  5 Au 2.55-2.64
Ga3 0.0000 0.0000 0.5000  4 Au 2.82
Au1 0.5000 0.5000 0.0000  4 Ga 2.64
Au2 0.5000 0.0000 0.6480  3 Ga 2.55-2.82, 2 Sb 2.82
Au3 0.0000 0.0000 0.0000  4 Ga 2.64
Au4 0.0000 0.5000 0.3520  3 Ga 2.55-2.82, 2 Sb 2.82
Sb1 0.5000 0.5000 0.5000  4 Au 2.82

Properties
The total magnetization is 0.000 μB per atom. The calculation puts the calculated volume at 233 Å³/cell. The space group is No. 115. The value obtained for the density of states at the Fermi level is 4.76 states/eV/cell. For the uncorrected formation energy, the calculation gives -575 meV/atom.

---

Compound: Nd6GeP4
Source: the Alexandria database
Functional: GGA-PBE
Structure: optimized geometry

Unit cell a=4.1737 b=7.1602 c=20.9095 alpha=90.00 beta=90.00 gamma=106.95
With the nearest neighbours (Å) after each atom.
Sites, in units of the cell vectors:
Nd1 0.0451 0.0902 0.3376  3 P 2.81-2.89
Nd2 0.7738 0.5477 0.0825  5 P 2.88-2.95
Nd3 0.7738 0.5477 0.4175  5 P 2.88-2.95
Nd4 0.0451 0.0902 0.1624  3 P 2.81-2.89
Nd5 0.2262 0.4523 0.9175  5 P 2.88-2.95
Nd6 0.5000 0.0000 0.5000  6 P 2.95
Nd7 0.9549 0.9098 0.8376  3 P 2.81-2.89
Nd8 0.5000 0.0000 0.0000  6 P 2.95
Nd9 0.3166 0.6331 0.2500  2 P 2.85, 2 Ge 2.98
Nd10 0.9549 0.9098 0.6624  3 P 2.81-2.89
Nd11 0.2262 0.4523 0.5825  5 P 2.88-2.95
Nd12 0.6834 0.3669 0.7500  2 P 2.85, 2 Ge 2.98
Ge1 0.3385 0.6770 0.7500  6 Nd 2.98-3.20
Ge2 0.6615 0.3230 0.2500  6 Nd 2.98-3.20
P1 0.1374 0.2748 0.0425  6 Nd 2.81-2.95
P2 0.5906 0.1811 0.8722  6 Nd 2.85-2.95
P3 0.8626 0.7252 0.9575  6 Nd 2.81-2.95
P4 0.8626 0.7252 0.5425  6 Nd 2.81-2.95
P5 0.4094 0.8189 0.1278  6 Nd 2.85-2.95
P6 0.4094 0.8189 0.3722  6 Nd 2.85-2.95
P7 0.5906 0.1811 0.6278  6 Nd 2.85-2.95
P8 0.1374 0.2748 0.4575  6 Nd 2.81-2.95

Properties
The total magnetization is 0.048 μB per atom. The calculation puts the calculated volume at 598 Å³/cell. The space group is No. 63. As for the formation energy from the elements: -1.310 eV/atom. The value obtained for the density of states at the Fermi level is 10.49 states/eV/cell.

---

Compound: PbSe2Br
Source: the Alexandria database
Functional: GGA-PBE
Structure: optimized geometry

Unit cell a=6.2844 b=6.2844 c=3.4053 alpha=90.00 beta=90.00 gamma=126.82
With the nearest neighbours (Å) after each atom.
Sites, in units of the cell vectors:
Br1 0.5000 0.0000 0.5000  2 Pb 2.81
Se1 0.5000 0.5000 0.0000  2 Se 2.81
Se2 0.0000 0.0000 0.0000  2 Se 2.81
Pb1 0.0000 0.5000 0.5000  2 Br 2.81

Properties
The total magnetization is 0.000 μB per atom. The calculation puts the calculated volume at 108 Å³/cell. The space group is No. 65. The value obtained for the density of states at the Fermi level is 3.70 states/eV/cell. The relative energy among the computed polymorphs comes out at 0.434 eV per atom. For the uncorrected formation energy, the calculation gives 99 meV/atom.